Record 1
First-principles (GGA-PBE) data for crystalline CaCrBr at its relaxed geometry, as listed in the Alexandria database.

Cell lengths 3.8989, 3.8989, 6.5905 Å; angles 90.00, 90.00, 120.00 degrees
Space group P3m1 (No. 156)
Inequivalent atoms, fractional coordinates:
Ca 0.0000 0.0000 0.0000 [1 per cell]
Cr 0.6667 0.3333 0.3525 [1 per cell]
Br 0.3333 0.6667 0.6990 [1 per cell]



Record 2
First-principles (GGA-PBE) data for crystalline CaCrBr2 at its relaxed geometry, as listed in the Alexandria database.

Cell lengths 7.4202, 8.9003, 4.2135 Å; angles 90.00, 122.55, 90.00 degrees
Space group C2/m (No. 12)
Inequivalent atoms, fractional coordinates:
Ca 0.0000 0.0000 0.0000 [2 per cell]
Cr 0.0000 0.5000 0.0000 [2 per cell]
Br 0.2500 0.2500 0.0000 [4 per cell]



| no. | E_tot (eV/atom) | total magnetic moment (μB/f.u.) | DOS at the Fermi energy (states/eV/atom) |
| --- | --- | --- | --- |
| 1 | -4.5620 | 4.978 | 0.298 |
| 2 | -4.2579 | 5.378 | 0.448 |